Entry from Alexandria: a relaxed YBeSe2N crystal (GGA-PBEsol).

Summary:
The value obtained for the magnetic moment is 2.03 Bohr magnetons per cell. As for the uncorrected formation energy: 0.62 eV/atom. Its density of states at the Fermi level is 0.6159 states/eV per atom. Its calculated density is 3.559 Mg/m³. As for the space-group type: P4/mmm, No. 123.

abc: 4.304 5.409 5.409
angles: 90.00 90.00 90.00
Positions (direct):
Se 0.000 0.000 0.500
Se 0.000 0.500 0.000
Y 0.000 0.000 0.000
Be 0.500 0.500 0.500
N 0.500 0.000 0.000

Entry from Alexandria: a relaxed SrBe2N crystal (GGA-PBEsol).

Summary:
The value obtained for the magnetic moment is 0.00 Bohr magnetons per cell. As for the uncorrected formation energy: 0.02 eV/atom. Its density of states at the Fermi level is 0.6228 states/eV per atom. Its calculated density is 3.256 Mg/m³. As for the space-group type: Fd-3m, No. 227.

abc: 5.568 5.568 5.568
angles: 60.00 60.00 60.00
Positions (direct):
Sr 0.750 0.750 0.750
Sr 0.500 0.500 0.500
Be 0.625 0.125 0.125
Be 0.125 0.625 0.125
Be 0.125 0.125 0.625
Be 0.125 0.125 0.125
N 0.250 0.250 0.250
N 0.000 0.000 0.000

Entry from Alexandria: a relaxed Be3TcN crystal (GGA-PBEsol).

Summary:
The value obtained for the magnetic moment is 0.11 Bohr magnetons per cell. As for the uncorrected formation energy: 0.16 eV/atom. Its density of states at the Fermi level is 0.9485 states/eV per atom. Its calculated density is 5.273 Mg/m³. As for the space-group type: Pm-3m, No. 221.

abc: 3.525 3.525 3.525
angles: 90.00 90.00 90.00
Positions (direct):
Tc 0.500 0.500 0.500
Be 0.500 0.000 0.000
Be 0.000 0.000 0.500
Be 0.000 0.500 0.000
N 0.000 0.000 0.000

Entry from Alexandria: a relaxed Be2TcN crystal (GGA-PBEsol).

Summary:
The value obtained for the magnetic moment is 0.00 Bohr magnetons per cell. As for the uncorrected formation energy: -0.06 eV/atom. Its density of states at the Fermi level is 0.5778 states/eV per atom. Its calculated density is 6.176 Mg/m³. As for the space-group type: I-42d, No. 122.

abc: 4.570 4.570 4.570
angles: 123.91 102.77 102.77
Positions (direct):
N 0.500 0.250 0.750
N 0.000 0.500 0.500
Tc 0.500 0.750 0.250
Tc 0.000 0.000 0.000
Be 0.103 0.228 0.625
Be 0.603 0.375 0.478
Be 0.397 0.875 0.772
Be 0.897 0.522 0.125

Entry from Alexandria: a relaxed BeTe2N crystal (GGA-PBEsol).

Summary:
The value obtained for the magnetic moment is 0.00 Bohr magnetons per cell. As for the uncorrected formation energy: 0.62 eV/atom. Its density of states at the Fermi level is 0.5991 states/eV per atom. Its calculated density is 5.736 Mg/m³. As for the space-group type: I-42d, No. 122.

abc: 5.127 5.127 7.121
angles: 111.10 111.10 90.00
Positions (direct):
N 0.250 0.750 0.500
N 0.000 0.000 0.000
Be 0.500 0.500 0.000
Be 0.750 0.250 0.500
Te 0.125 0.099 0.750
Te 0.349 0.875 0.250
Te 0.901 0.375 0.250
Te 0.625 0.651 0.750

Entry from Alexandria: a relaxed BeTeN2 crystal (GGA-PBEsol).

Summary:
The value obtained for the magnetic moment is 0.00 Bohr magnetons per cell. As for the uncorrected formation energy: 1.30 eV/atom. Its density of states at the Fermi level is 0.3121 states/eV per atom. Its calculated density is 6.657 Mg/m³. As for the space-group type: Fm-3m, No. 225.

abc: 3.872 3.872 3.872
angles: 60.00 60.00 60.00
Positions (direct):
N 0.250 0.250 0.250
N 0.750 0.750 0.750
Be 0.000 0.000 0.000
Te 0.500 0.500 0.500

Entry from Alexandria: a relaxed Ti3BeN crystal (GGA-PBEsol).

Summary:
The value obtained for the magnetic moment is 0.00 Bohr magnetons per cell. As for the uncorrected formation energy: -0.85 eV/atom. Its density of states at the Fermi level is 0.5706 states/eV per atom. Its calculated density is 4.273 Mg/m³. As for the space-group type: Pm-3m, No. 221.

abc: 4.015 4.015 4.015
angles: 90.00 90.00 90.00
Positions (direct):
Ti 0.500 0.000 0.000
Ti 0.000 0.000 0.500
Ti 0.000 0.500 0.000
N 0.000 0.000 0.000
Be 0.500 0.500 0.500

Entry from Alexandria: a relaxed BeTlN2 crystal (GGA-PBEsol).

Summary:
The value obtained for the magnetic moment is 0.00 Bohr magnetons per cell. As for the uncorrected formation energy: 0.64 eV/atom. Its density of states at the Fermi level is 0.4951 states/eV per atom. Its calculated density is 7.215 Mg/m³. As for the space-group type: R-3m, No. 166.

abc: 3.440 3.440 5.774
angles: 72.67 72.67 60.00
Positions (direct):
Be 0.000 0.000 0.000
Tl 0.500 0.500 0.500
N 0.905 0.905 0.284
N 0.095 0.095 0.716

Entry from Alexandria: a relaxed BeTlN3 crystal (GGA-PBEsol).

Summary:
The value obtained for the magnetic moment is 3.13 Bohr magnetons per cell. As for the uncorrected formation energy: 2.77 eV/atom. Its density of states at the Fermi level is 0.6152 states/eV per atom. Its calculated density is 5.568 Mg/m³. As for the space-group type: Pm-3m, No. 221.

abc: 4.239 4.239 4.239
angles: 90.00 90.00 90.00
Positions (direct):
N 0.000 0.500 0.000
N 0.500 0.000 0.000
N 0.000 0.000 0.500
Be 0.500 0.500 0.500
Tl 0.000 0.000 0.000

Entry from Alexandria: a relaxed Be3TlN crystal (GGA-PBEsol).

Summary:
The value obtained for the magnetic moment is 0.00 Bohr magnetons per cell. As for the uncorrected formation energy: 0.21 eV/atom. Its density of states at the Fermi level is 0.1609 states/eV per atom. Its calculated density is 7.759 Mg/m³. As for the space-group type: Pm-3m, No. 221.

abc: 3.745 3.745 3.745
angles: 90.00 90.00 90.00
Positions (direct):
Tl 0.500 0.500 0.500
Be 0.000 0.000 0.500
Be 0.000 0.500 0.000
Be 0.500 0.000 0.000
N 0.000 0.000 0.000

Entry from Alexandria: a relaxed YBeN3 crystal (GGA-PBEsol).

Summary:
The value obtained for the magnetic moment is 4.02 Bohr magnetons per cell. As for the uncorrected formation energy: 1.73 eV/atom. Its density of states at the Fermi level is 0.5015 states/eV per atom. Its calculated density is 2.778 Mg/m³. As for the space-group type: Pm-3m, No. 221.

abc: 4.374 4.374 4.374
angles: 90.00 90.00 90.00
Positions (direct):
N 0.000 0.000 0.500
N 0.000 0.500 0.000
N 0.500 0.000 0.000
Be 0.500 0.500 0.500
Y 0.000 0.000 0.000

Entry from Alexandria: a relaxed YBeN3 crystal (GGA-PBEsol).

Summary:
The value obtained for the magnetic moment is 0.00 Bohr magnetons per cell. As for the uncorrected formation energy: -0.11 eV/atom. Its density of states at the Fermi level is 0.5404 states/eV per atom. Its calculated density is 5.059 Mg/m³. As for the space-group type: Pm-3m, No. 221.

abc: 3.581 3.581 3.581
angles: 90.00 90.00 90.00
Positions (direct):
N 0.000 0.000 0.500
N 0.000 0.500 0.000
N 0.500 0.000 0.000
Be 0.000 0.000 0.000
Y 0.500 0.500 0.500

Entry from Alexandria: a relaxed Na2BeO2 crystal (GGA-PBEsol).

Summary:
The value obtained for the magnetic moment is 0.00 Bohr magnetons per cell. As for the uncorrected formation energy: -1.90 eV/atom. Its density of states at the Fermi level is 0.0000 states/eV per atom. Its calculated density is 2.456 Mg/m³. As for the space-group type: P2_1/c, No. 14.

abc: 5.291 7.856 11.454
angles: 98.81 90.00 90.00
Positions (direct):
Na 0.832 0.321 0.966
Na 0.382 0.252 0.833
Na 0.057 0.590 0.764
Na 0.448 0.448 0.375
Na 0.552 0.552 0.625
Na 0.168 0.679 0.034
Na 0.882 0.248 0.667
Na 0.443 0.090 0.264
Na 0.668 0.821 0.466
Na 0.943 0.410 0.236
Na 0.557 0.910 0.736
Na 0.332 0.179 0.534
Na 0.118 0.752 0.333
Na 0.948 0.052 0.125
Na 0.052 0.948 0.875
Na 0.618 0.748 0.167
Be 0.883 0.116 0.377
Be 0.117 0.884 0.623
Be 0.383 0.384 0.123
Be 0.042 0.629 0.539
Be 0.958 0.371 0.461
Be 0.458 0.129 0.039
Be 0.542 0.871 0.961
Be 0.617 0.616 0.877
O 0.367 0.946 0.077
O 0.226 0.270 0.022
O 0.274 0.770 0.522
O 0.808 0.944 0.306
O 0.774 0.730 0.978
O 0.383 0.732 0.859
O 0.867 0.554 0.423
O 0.633 0.054 0.923
O 0.726 0.230 0.478
O 0.692 0.444 0.806
O 0.883 0.768 0.641
O 0.308 0.556 0.194
O 0.133 0.446 0.577
O 0.192 0.056 0.694
O 0.617 0.268 0.141
O 0.117 0.232 0.359